[1]
Computed, not measured: crystalline SmP3Pd5 at its relaxed geometry at the PBE level of DFT.

## Properties
Raw total energy: -5.87 eV/atom
Theoretical density: 8.44 g/cm³
Calculated formation energy: -0.656 eV/atom

Cell lengths 3.841, 6.751, 12.278 Å; angles 90.00, 90.00, 106.53 degrees
Element x y z (fractional)
Sm: 0.874 0.748 0.750
Sm: 0.126 0.252 0.250
P: 0.394 0.789 0.942
P: 0.869 0.737 0.250
P: 0.394 0.789 0.558
P: 0.606 0.211 0.442
P: 0.131 0.263 0.750
P: 0.606 0.211 0.058
Pd: 0.780 0.559 0.417
Pd: 0.220 0.441 0.917
Pd: 0.000 0.000 0.500
Pd: 0.000 0.000 0.000
Pd: 0.429 0.859 0.142
Pd: 0.571 0.141 0.858
Pd: 0.571 0.141 0.642
Pd: 0.780 0.559 0.083
Pd: 0.220 0.441 0.583
Pd: 0.429 0.859 0.358

***

[2]
Computed, not measured: crystalline CaZnRe2 at its relaxed geometry at the PBE level of DFT.

## Properties
Raw total energy: -6.40 eV/atom
Theoretical density: 11.85 g/cm³
Calculated formation energy: 0.644 eV/atom

Cell lengths 9.788, 9.788, 9.788 Å; angles 16.63, 16.63, 16.63 degrees
Element x y z (fractional)
Re: 0.993 0.993 0.993
Re: 0.507 0.507 0.507
Zn: 0.250 0.250 0.250
Ca: 0.750 0.750 0.750

***

[3]
Computed, not measured: crystalline NdEr8Th2 at its relaxed geometry at the PBE level of DFT.

## Properties
Raw total energy: -4.90 eV/atom
Energy above the most stable polymorph in this dataset: 0.232 eV per formula unit
Theoretical density: 9.12 g/cm³
Calculated formation energy: 0.201 eV/atom

Cell lengths 5.921, 7.522, 9.194 Å; angles 111.74, 105.71, 97.04 degrees
Element x y z (fractional)
Nd: 0.500 0.000 0.000
Er: 0.156 0.338 0.238
Er: 0.920 0.100 0.762
Er: 0.723 0.429 0.999
Er: 0.708 0.209 0.418
Er: 0.292 0.791 0.582
Er: 0.277 0.571 0.001
Er: 0.080 0.900 0.238
Er: 0.844 0.662 0.762
Th: 0.694 0.693 0.387
Th: 0.306 0.307 0.613

***

[4]
Computed, not measured: crystalline Ho8Tl4In3 at its relaxed geometry at the PBE level of DFT.

## Properties
Raw total energy: -3.77 eV/atom
Theoretical density: 9.17 g/cm³
Calculated formation energy: -0.149 eV/atom

Cell lengths 10.514, 8.851, 8.851 Å; angles 89.60, 126.48, 126.48 degrees
Element x y z (fractional)
Ho: 0.511 0.254 0.254
Ho: 0.000 0.651 0.349
Ho: 0.997 0.254 0.254
Ho: 0.500 0.749 0.251
Ho: 0.500 0.251 0.749
Ho: 0.003 0.746 0.746
Ho: 0.000 0.349 0.651
Ho: 0.489 0.746 0.746
Tl: 0.500 0.000 0.000
Tl: 0.000 0.500 0.000
Tl: 0.000 0.000 0.000
Tl: 0.000 0.000 0.500
In: 0.500 0.500 0.000
In: 0.500 0.000 0.500
In: 0.500 0.500 0.500

***

[5]
Computed, not measured: crystalline LiCoS2 at its relaxed geometry at the PBE level of DFT.

## Properties
Raw total energy: -5.06 eV/atom
Energy above the most stable polymorph in this dataset: 0.000 eV per formula unit
Theoretical density: 3.78 g/cm³
E_form (uncorrected): -744 meV per atom

Cell lengths 3.414, 3.414, 5.663 Å; angles 90.01, 90.00, 60.00 degrees
Element x y z (fractional)
S: 0.659 0.176 0.702
S: 0.325 0.843 0.297
Co: 0.992 0.509 0.500
Li: 0.992 0.509 0.000

***

[6]
Computed, not measured: crystalline BrO4 at its relaxed geometry at the PBE level of DFT.

## Properties
Raw total energy: -4.12 eV/atom
Energy above the most stable polymorph in this dataset: 0.000 eV per formula unit
Theoretical density: 2.18 g/cm³
E_form (uncorrected): 184 meV per atom

Cell lengths 10.940, 7.290, 6.692 Å; angles 55.30, 90.00, 90.00 degrees
Element x y z (fractional)
Br: 0.504 0.982 0.984
Br: 0.004 0.018 0.016
Br: 0.599 0.247 0.426
Br: 0.099 0.753 0.574
O: 0.602 0.520 0.307
O: 0.102 0.480 0.693
O: 0.788 0.419 0.913
O: 0.289 0.581 0.087
O: 0.798 0.624 0.787
O: 0.298 0.376 0.213
O: 0.677 0.095 0.691
O: 0.177 0.905 0.309
O: 0.922 0.901 0.273
O: 0.422 0.099 0.727
O: 0.511 0.690 0.672
O: 0.011 0.310 0.328
O: 0.519 0.150 0.077
O: 0.019 0.850 0.923
O: 0.423 0.644 0.596
O: 0.923 0.356 0.404